! BaLaCoIrO6, optimized geometry, DFT GGA+U; values from VASP
&SYSTEM
  ibrav = 0, nat = 10, ntyp = 5
/
ATOMIC_SPECIES
Ba 137.33 Ba.upf
La 138.91 La.upf
Co 58.93 Co.upf
Ir 192.22 Ir.upf
O 16.00 O.upf
CELL_PARAMETERS angstrom
5.6863 0.0000 0.0000
-0.0305 5.6996 0.0000
-2.8379 -2.8096 4.0705
ATOMIC_POSITIONS crystal
Ba 0.0000 0.0000 0.0000
La 0.5115 0.4913 0.9981
Co 0.2498 0.7513 0.4998
Ir 0.7484 0.2533 0.4995
O 0.0536 0.0710 0.5342
O 0.4721 0.4656 0.5297
O 0.5169 0.9239 0.4258
O 0.5213 0.0514 0.0113
O 0.9524 0.4759 0.9878
O 0.9603 0.5423 0.5116
! V (A^3/atom): 13.2
! Mass density (g cm⁻³): 7.85
! Total DFT energy (no corrections) (eV per atom): -6.96
! N(E_F) (states/eV per cell): 3.51
! M_tot (Bohr magnetons per cell): 5.042